# ErGe2MoO8 GGA+U relaxed
# DOS at the Fermi energy: 0.000 states/eV per cell
# uncorrected energy: -7.01 eV per atom
data_ErGe2MoO8
_cell_length_a 6.848
_cell_length_b 6.848
_cell_length_c 6.243
_cell_angle_alpha 90.00
_cell_angle_beta 90.00
_cell_angle_gamma 90.00
_space_group_name_H-M_alt 'I -4 m 2'
_space_group_IT_number 119
_space_group_name_Hall 'I -4 -2'
loop_
_atom_site_label
_atom_site_type_symbol
_atom_site_fract_x
_atom_site_fract_y
_atom_site_fract_z
_atom_site_occupancy
Er1 Er 0.000 0.000 0.000 1
Ge1 Ge 0.000 0.000 0.500 1
Ge2 Ge 0.000 0.500 0.750 1
Mo1 Mo 0.000 0.500 0.250 1
O1 O 0.000 0.193 0.312 1
O2 O 0.000 0.326 0.959 1